# 1
A plane-wave DFT calculation with PBE was carried out for a geometry-optimized TiMnCoSi structure.

- uncorrected formation energy (meV/atom) = -626
- M_tot (μB per atom) = 0.000
- Fermi-level density of states (states/eV/atom) = 0.001
- ρ (g/cm3) = 6.7
- VASP energy (eV per atom) = -8.02

a = 5.7218 Å, b = 5.7218 Å, c = 5.7218 Å
α = 90.00°, β = 90.00°, γ = 90.00°
With the nearest neighbours (Å) after each atom.
Space group F-43m (No. 216)
Unique sites:
Ti 0.0000 0.0000 0.0000  4 Mn 2.48, 4 Co 2.48
Mn 0.2500 0.2500 0.2500  4 Si 2.48, 4 Ti 2.48
Co 0.2500 0.2500 0.7500  4 Si 2.48, 4 Ti 2.48
Si 0.0000 0.0000 0.5000  4 Mn 2.48, 4 Co 2.48

***

# 2
A plane-wave DFT calculation with PBE was carried out for a geometry-optimized TmMnCoSi2 structure.

- uncorrected formation energy (meV/atom) = -688
- M_tot (μB per atom) = 0.403
- Fermi-level density of states (states/eV/atom) = 1.021
- ρ (g/cm3) = 7.5
- VASP energy (eV per atom) = -7.01

a = 3.8832 Å, b = 3.8832 Å, c = 9.9092 Å
α = 90.00°, β = 90.00°, γ = 90.00°
With the nearest neighbours (Å) after each atom.
Space group I-4m2 (No. 119)
Unique sites:
Tm 0.0000 0.0000 0.0000  8 Si 3.00, 4 Mn 3.15, 4 Co 3.15
Mn 0.0000 0.5000 0.7500  4 Si 2.31
Co 0.0000 0.5000 0.2500  4 Si 2.31
Si 0.0000 0.0000 0.3769  2 Mn 2.31, 2 Co 2.31, 1 Si 2.44